Compound: Ho2NpScO8
Source: the Alexandria database
Functional: GGA-PBE
Structure: optimized geometry

Results
Formation energy (no corrections)   -3168.4 meV/atom
E_tot   -106.11 eV per cell

```
Ho2NpScO8
1.0
3.479 -3.603 0.000
3.479 3.603 0.000
0.000 0.000 6.825
Ho Np Sc O
2 1 1 8
direct
0.000 0.000 0.237 Ho
0.000 0.000 0.763 Ho
0.500 0.500 0.500 Np
0.500 0.500 0.000 Sc
0.206 0.206 0.000 O
0.213 0.213 0.500 O
0.319 0.681 0.268 O
0.319 0.681 0.732 O
0.681 0.319 0.268 O
0.681 0.319 0.732 O
0.787 0.787 0.500 O
0.794 0.794 0.000 O
```


Compound: Sm2HoNpO8
Source: the Alexandria database
Functional: GGA-PBE
Structure: optimized geometry

Results
Formation energy (no corrections)   -3158.7 meV/atom
E_tot   -104.53 eV per cell

```
Sm2HoNpO8
1.0
3.896 0.000 0.000
0.000 7.512 0.000
-0.393 0.000 5.467
Sm Ho Np O
2 1 1 8
direct
0.000 0.241 0.000 Sm
0.000 0.759 0.000 Sm
0.500 0.000 0.500 Ho
0.500 0.500 0.500 Np
0.005 0.000 0.253 O
0.048 0.500 0.280 O
0.470 0.277 0.731 O
0.470 0.723 0.731 O
0.530 0.277 0.269 O
0.530 0.723 0.269 O
0.952 0.500 0.720 O
0.995 0.000 0.747 O
```


Compound: HoNpSnO6
Source: the Alexandria database
Functional: GGA-PBE
Structure: optimized geometry

Results
Formation energy (no corrections)   -2530.1 meV/atom
E_tot   -148.08 eV per cell

```
HoNpSnO6
1.0
5.635 0.000 0.000
-2.818 4.880 0.000
0.000 0.000 9.057
Ho Np Sn O
2 2 2 12
direct
0.333 0.667 0.250 Ho
0.667 0.333 0.750 Ho
0.333 0.667 0.750 Np
0.667 0.333 0.250 Np
0.000 0.000 0.000 Sn
0.000 0.000 0.500 Sn
0.018 0.333 0.627 O
0.018 0.685 0.873 O
0.315 0.333 0.873 O
0.315 0.982 0.627 O
0.333 0.018 0.127 O
0.333 0.315 0.373 O
0.667 0.685 0.627 O
0.667 0.982 0.873 O
0.685 0.018 0.373 O
0.685 0.667 0.127 O
0.982 0.315 0.127 O
0.982 0.667 0.373 O
```


Compound: SrHoNpO6
Source: the Alexandria database
Functional: GGA-PBE
Structure: optimized geometry

Results
Formation energy (no corrections)   -3009.6 meV/atom
E_tot   -152.07 eV per cell

```
SrHoNpO6
1.0
5.818 0.000 0.000
-2.909 5.038 0.000
0.000 0.000 10.180
Sr Ho Np O
2 2 2 12
direct
0.000 0.000 0.000 Sr
0.000 0.000 0.500 Sr
0.333 0.667 0.250 Ho
0.667 0.333 0.750 Ho
0.333 0.667 0.750 Np
0.667 0.333 0.250 Np
0.029 0.382 0.643 O
0.029 0.647 0.857 O
0.353 0.382 0.857 O
0.353 0.971 0.643 O
0.382 0.029 0.143 O
0.382 0.353 0.357 O
0.618 0.647 0.643 O
0.618 0.971 0.857 O
0.647 0.029 0.357 O
0.647 0.618 0.143 O
0.971 0.353 0.143 O
0.971 0.618 0.357 O
```


Compound: SrHoNp2O8
Source: the Alexandria database
Functional: GGA-PBE
Structure: optimized geometry

Results
Formation energy (no corrections)   -3007.0 meV/atom
E_tot   -107.89 eV per cell

```
SrHoNp2O8
1.0
-2.712 2.712 5.299
2.712 -2.712 5.299
2.712 2.712 -5.299
Sr Ho Np O
1 1 2 8
direct
0.000 0.000 0.000 Sr
0.250 0.750 0.500 Ho
0.500 0.500 0.000 Np
0.750 0.250 0.500 Np
0.130 0.146 0.534 O
0.130 0.596 0.984 O
0.404 0.388 0.534 O
0.404 0.870 0.016 O
0.612 0.146 0.016 O
0.612 0.596 0.466 O
0.854 0.388 0.984 O
0.854 0.870 0.466 O
```


Compound: Tb2HoNpO8
Source: the Alexandria database
Functional: GGA-PBE
Structure: optimized geometry

Results
Formation energy (no corrections)   -3188.0 meV/atom
E_tot   -104.70 eV per cell

```
Tb2HoNpO8
1.0
3.571 -3.640 0.000
3.571 3.640 0.000
0.000 0.000 7.006
Tb Ho Np O
2 1 1 8
direct
0.000 0.000 0.241 Tb
0.000 0.000 0.759 Tb
0.500 0.500 0.000 Ho
0.500 0.500 0.500 Np
0.194 0.194 0.000 O
0.219 0.219 0.500 O
0.318 0.682 0.276 O
0.318 0.682 0.724 O
0.682 0.318 0.276 O
0.682 0.318 0.724 O
0.781 0.781 0.500 O
0.806 0.806 0.000 O
```


Compound: HoNpTe2O
Source: the Alexandria database
Functional: GGA-PBE
Structure: optimized geometry

Results
Formation energy (no corrections)   -1742.6 meV/atom
E_tot   -74.95 eV per cell

```
HoNpTe2O
1.0
4.155 0.000 0.000
0.000 4.155 0.000
0.000 0.000 15.389
Ho Np Te O
2 2 4 2
direct
0.250 0.250 0.127 Ho
0.750 0.750 0.873 Ho
0.250 0.250 0.571 Np
0.750 0.750 0.429 Np
0.250 0.250 0.318 Te
0.250 0.250 0.913 Te
0.750 0.750 0.087 Te
0.750 0.750 0.682 Te
0.250 0.750 0.500 O
0.750 0.250 0.500 O
```


Compound: HoThNpO6
Source: the Alexandria database
Functional: GGA-PBE
Structure: optimized geometry

Results
Formation energy (no corrections)   -3328.1 meV/atom
E_tot   -169.28 eV per cell

```
HoThNpO6
1.0
5.776 0.000 0.000
-2.888 5.002 0.000
0.000 0.000 9.752
Ho Th Np O
2 2 2 12
direct
0.333 0.667 0.250 Ho
0.667 0.333 0.750 Ho
0.000 0.000 0.000 Th
0.000 0.000 0.500 Th
0.333 0.667 0.750 Np
0.667 0.333 0.250 Np
0.015 0.349 0.634 O
0.015 0.667 0.866 O
0.333 0.349 0.866 O
0.333 0.985 0.634 O
0.349 0.015 0.134 O
0.349 0.333 0.366 O
0.651 0.667 0.634 O
0.651 0.985 0.866 O
0.667 0.015 0.366 O
0.667 0.651 0.134 O
0.985 0.333 0.134 O
0.985 0.651 0.366 O
```


Compound: HoNpTl2O8
Source: the Alexandria database
Functional: GGA-PBE
Structure: optimized geometry

Results
Formation energy (no corrections)   -1941.0 meV/atom
E_tot   -85.21 eV per cell

```
HoNpTl2O8
1.0
3.607 -3.776 0.000
3.607 3.776 0.000
0.000 0.000 6.819
Ho Np Tl O
1 1 2 8
direct
0.000 0.000 0.000 Ho
0.000 0.000 0.500 Np
0.500 0.500 0.246 Tl
0.500 0.500 0.754 Tl
0.171 0.829 0.279 O
0.171 0.829 0.721 O
0.296 0.296 0.500 O
0.303 0.303 0.000 O
0.697 0.697 0.000 O
0.704 0.704 0.500 O
0.829 0.171 0.279 O
0.829 0.171 0.721 O
```


Compound: Ho2NpTlO8
Source: the Alexandria database
Functional: GGA-PBE
Structure: optimized geometry

Results
Formation energy (no corrections)   -2586.0 meV/atom
E_tot   -95.16 eV per cell

```
Ho2NpTlO8
1.0
3.444 -3.630 0.000
3.444 3.630 0.000
0.000 0.000 7.163
Ho Np Tl O
2 1 1 8
direct
0.000 0.000 0.248 Ho
0.000 0.000 0.752 Ho
0.500 0.500 0.500 Np
0.500 0.500 0.000 Tl
0.200 0.200 0.000 O
0.205 0.205 0.500 O
0.310 0.690 0.292 O
0.310 0.690 0.708 O
0.690 0.310 0.292 O
0.690 0.310 0.708 O
0.795 0.795 0.500 O
0.800 0.800 0.000 O
```


Compound: HoNpTl2O6
Source: the Alexandria database
Functional: GGA-PBE
Structure: optimized geometry

Results
Formation energy (no corrections)   -2281.3 meV/atom
E_tot   -74.81 eV per cell

```
HoNpTl2O6
1.0
5.297 -3.058 0.000
5.297 3.058 0.000
-3.531 0.000 4.994
Ho Np Tl O
1 1 2 6
direct
0.000 0.000 0.000 Ho
0.500 0.500 0.500 Np
0.250 0.250 0.750 Tl
0.750 0.750 0.250 Tl
0.263 0.735 0.263 O
0.264 0.264 0.266 O
0.265 0.737 0.737 O
0.735 0.263 0.263 O
0.736 0.736 0.734 O
0.737 0.265 0.737 O
```


Compound: HoTm2NpO8
Source: the Alexandria database
Functional: GGA-PBE
Structure: optimized geometry

Results
Formation energy (no corrections)   -3226.2 meV/atom
E_tot   -104.84 eV per cell

```
HoTm2NpO8
1.0
3.537 -3.585 0.000
3.537 3.585 0.000
0.000 0.000 6.922
Ho Tm Np O
1 2 1 8
direct
0.000 0.000 0.000 Ho
0.500 0.500 0.239 Tm
0.500 0.500 0.761 Tm
0.000 0.000 0.500 Np
0.185 0.815 0.275 O
0.185 0.815 0.725 O
0.285 0.285 0.500 O
0.309 0.309 0.000 O
0.691 0.691 0.000 O
0.715 0.715 0.500 O
0.815 0.185 0.275 O
0.815 0.185 0.725 O
```